! PuZn4Au, optimized geometry, DFT GGA-PBE; values from VASP
&SYSTEM
  ibrav = 0, nat = 12, ntyp = 3
/
ATOMIC_SPECIES
Zn 65.41 Zn.upf
Pu 244.00 Pu.upf
Au 196.97 Au.upf
ATOMIC_POSITIONS crystal
Zn 0.665 0.941 0.329
Pu 0.121 0.250 0.241
Zn 0.500 0.500 0.000
Zn 0.665 0.559 0.329
Zn 0.335 0.441 0.671
Zn 0.067 0.750 0.135
Pu 0.879 0.750 0.759
Zn 0.500 0.000 0.000
Au 0.234 0.750 0.468
Zn 0.933 0.250 0.865
Au 0.766 0.250 0.532
Zn 0.335 0.059 0.671
CELL_PARAMETERS angstrom
4.212 0.000 0.000
0.000 6.745 0.000
-2.106 0.000 7.964
! symmetry: Cmcm
! energy above the most stable polymorph in this dataset: 0 meV per atom
! formation energy from the elements: -0.95 eV/f.u.



! Tb4SmDy7, optimized geometry, DFT GGA-PBE; values from VASP
&SYSTEM
  ibrav = 0, nat = 12, ntyp = 3
/
ATOMIC_SPECIES
Dy 162.50 Dy.upf
Sm 150.36 Sm.upf
Tb 158.93 Tb.upf
ATOMIC_POSITIONS crystal
Dy 0.018 0.687 0.356
Dy 0.982 0.313 0.644
Sm 0.000 0.000 0.000
Dy 0.500 0.000 0.000
Tb 0.442 0.357 0.713
Tb 0.229 0.163 0.315
Tb 0.558 0.643 0.287
Dy 0.294 0.805 0.615
Dy 0.737 0.514 0.950
Tb 0.771 0.837 0.685
Dy 0.706 0.195 0.385
Dy 0.263 0.486 0.050
CELL_PARAMETERS angstrom
6.665 1.345 0.593
4.415 7.241 2.138
-1.349 -0.566 8.903
! symmetry: P-1
! energy above the most stable polymorph in this dataset: 0 meV per atom
! formation energy from the elements: 1.04 eV/f.u.



! CsMo3I, optimized geometry, DFT GGA-PBE; values from VASP
&SYSTEM
  ibrav = 0, nat = 5, ntyp = 3
/
ATOMIC_SPECIES
Mo 95.94 Mo.upf
Cs 132.91 Cs.upf
I 126.90 I.upf
ATOMIC_POSITIONS crystal
Mo 0.000 0.000 0.500
Cs 0.000 0.000 0.000
Mo 0.500 0.000 0.000
I 0.500 0.500 0.500
Mo 0.000 0.500 0.000
CELL_PARAMETERS angstrom
5.039 0.000 0.000
0.000 5.039 0.000
0.000 0.000 5.039
! symmetry: Pm-3m
! energy above the most stable polymorph in this dataset: 990 meV per atom
! E_form (uncorrected): 3.303 eV per atom



! HgTe4As2, optimized geometry, DFT GGA-PBE; values from VASP
&SYSTEM
  ibrav = 0, nat = 14, ntyp = 3
/
ATOMIC_SPECIES
As 74.92 As.upf
Te 127.60 Te.upf
Hg 200.59 Hg.upf
ATOMIC_POSITIONS crystal
As 0.860 0.721 0.939
Te 0.225 0.449 0.618
As 0.140 0.279 0.061
Te 0.775 0.551 0.118
Te 0.775 0.551 0.382
Te 0.057 0.115 0.250
Te 0.943 0.885 0.750
Hg 0.591 0.181 0.750
Te 0.500 0.000 0.000
As 0.860 0.721 0.561
Hg 0.409 0.819 0.250
Te 0.225 0.449 0.882
As 0.140 0.279 0.439
Te 0.500 0.000 0.500
CELL_PARAMETERS angstrom
-1.735 3.816 -0.222
-4.974 -4.644 -1.258
-3.103 -0.572 14.386
! symmetry: Cmcm
! E_form (uncorrected): 0.079 eV per atom



! Li2MgIn, optimized geometry, DFT GGA-PBE; values from VASP
&SYSTEM
  ibrav = 0, nat = 4, ntyp = 3
/
ATOMIC_SPECIES
Li 6.94 Li.upf
In 114.82 In.upf
Mg 24.30 Mg.upf
ATOMIC_POSITIONS crystal
Li 0.496 0.496 0.496
In 0.750 0.750 0.750
Mg 0.250 0.250 0.250
Li 0.004 0.004 0.004
CELL_PARAMETERS angstrom
-5.356 -7.279 -4.027
-2.426 -8.562 -4.322
-4.053 -8.888 -1.571
! symmetry: R-3m
! formation energy from the elements: -0.40 eV/f.u.



! Er2Co2Tc, optimized geometry, DFT GGA-PBE; values from VASP
&SYSTEM
  ibrav = 0, nat = 10, ntyp = 3
/
ATOMIC_SPECIES
Er 167.26 Er.upf
Co 58.93 Co.upf
Tc 98.00 Tc.upf
ATOMIC_POSITIONS crystal
Er 0.526 0.773 0.848
Co 0.995 0.743 0.003
Co 0.005 0.257 0.997
Er 0.474 0.227 0.152
Er 0.227 0.474 0.652
Tc 0.879 0.121 0.750
Er 0.773 0.526 0.348
Co 0.257 0.005 0.497
Tc 0.121 0.879 0.250
Co 0.743 0.995 0.503
CELL_PARAMETERS angstrom
-1.348 4.849 1.733
-0.349 0.854 5.242
6.714 2.864 1.350
! symmetry: C2/c
! formation energy from the elements: -1.01 eV/f.u.



! Ac4SiNiCl2, optimized geometry, DFT GGA-PBE; values from VASP
&SYSTEM
  ibrav = 0, nat = 8, ntyp = 4
/
ATOMIC_SPECIES
Si 28.09 Si.upf
Cl 35.45 Cl.upf
Ni 58.69 Ni.upf
Ac 227.00 Ac.upf
ATOMIC_POSITIONS crystal
Si 0.000 0.000 0.000
Cl 0.500 0.000 0.500
Ni 0.500 0.500 0.000
Ac 0.000 0.277 0.789
Cl 0.000 0.500 0.500
Ac 0.500 0.754 0.771
Ac 0.500 0.246 0.229
Ac 0.000 0.723 0.211
CELL_PARAMETERS angstrom
-4.321 -0.366 0.078
0.321 -2.150 7.644
-0.657 7.693 -0.274
! symmetry: P2/m
! E_form (uncorrected): -0.996 eV per atom



! Ba2ZrAu, optimized geometry, DFT GGA-PBE; values from VASP
&SYSTEM
  ibrav = 0, nat = 4, ntyp = 3
/
ATOMIC_SPECIES
Au 196.97 Au.upf
Ba 137.33 Ba.upf
Zr 91.22 Zr.upf
ATOMIC_POSITIONS crystal
Au 0.220 0.220 0.280
Ba 0.961 0.961 0.040
Ba 0.759 0.759 0.740
Zr 0.561 0.561 0.440
CELL_PARAMETERS angstrom
-6.606 -0.788 2.727
-6.569 -2.881 -0.493
-0.740 -4.928 3.194
! symmetry: Cm
! energy above the most stable polymorph in this dataset: 88 meV per atom
! formation energy from the elements: 0.13 eV/f.u.



! Pm4DyPu3Se8, optimized geometry, DFT GGA-PBE; values from VASP
&SYSTEM
  ibrav = 0, nat = 16, ntyp = 4
/
ATOMIC_SPECIES
Pu 244.00 Pu.upf
Se 78.96 Se.upf
Pm 145.00 Pm.upf
Dy 162.50 Dy.upf
ATOMIC_POSITIONS crystal
Pu 0.000 0.500 0.500
Se 0.753 0.257 0.507
Pm 0.000 0.000 0.000
Pm 0.500 0.000 0.000
Pu 0.500 0.500 0.500
Se 0.250 0.257 0.003
Dy 0.000 0.500 0.000
Pu 0.500 0.500 0.000
Se 0.750 0.743 0.997
Se 0.753 0.257 0.003
Se 0.247 0.743 0.493
Se 0.247 0.743 0.997
Pm 0.500 0.000 0.500
Pm 0.000 0.000 0.500
Se 0.748 0.745 0.496
Se 0.252 0.255 0.504
CELL_PARAMETERS angstrom
8.296 0.000 0.000
0.000 8.342 0.027
-4.148 -4.144 5.869
! symmetry: R-3m
! E_form (uncorrected): -1.731 eV per atom



! HoAlAu, optimized geometry, DFT GGA-PBE; values from VASP
&SYSTEM
  ibrav = 0, nat = 6, ntyp = 3
/
ATOMIC_SPECIES
Au 196.97 Au.upf
Al 26.98 Al.upf
Ho 164.93 Ho.upf
ATOMIC_POSITIONS crystal
Au 0.814 0.867 0.158
Al 0.314 0.866 0.920
Ho 0.814 0.866 0.579
Al 0.814 0.366 0.920
Au 0.314 0.366 0.681
Ho 0.314 0.366 0.260
CELL_PARAMETERS angstrom
-3.677 2.064 0.091
-0.360 -0.458 -4.177
-3.448 -6.187 0.975
! symmetry: P4/nmm
! formation energy from the elements: -2.23 eV/f.u.



! Hf4NbRh, optimized geometry, DFT GGA-PBE; values from VASP
&SYSTEM
  ibrav = 0, nat = 12, ntyp = 3
/
ATOMIC_SPECIES
Hf 178.49 Hf.upf
Rh 102.91 Rh.upf
Nb 92.91 Nb.upf
ATOMIC_POSITIONS crystal
Hf 0.766 0.700 0.633
Rh 0.251 0.001 0.001
Nb 0.363 0.613 0.226
Hf 0.723 0.377 0.171
Rh 0.749 0.999 0.999
Hf 0.277 0.623 0.829
Nb 0.637 0.387 0.774
Hf 0.052 0.206 0.829
Hf 0.633 0.067 0.367
Hf 0.948 0.794 0.171
Hf 0.367 0.933 0.633
Hf 0.234 0.300 0.367
CELL_PARAMETERS angstrom
5.511 -0.424 0.000
-2.016 7.590 0.000
-1.748 -3.583 6.094
! symmetry: C2/c
! formation energy from the elements: -1.10 eV/f.u.



! VSiN3, optimized geometry, DFT GGA-PBE; values from VASP
&SYSTEM
  ibrav = 0, nat = 5, ntyp = 3
/
ATOMIC_SPECIES
N 14.01 N.upf
Si 28.09 Si.upf
V 50.94 V.upf
ATOMIC_POSITIONS crystal
N 0.000 0.500 0.000
N 0.000 0.000 0.500
Si 0.000 0.000 0.000
N 0.500 0.000 0.000
V 0.500 0.500 0.500
CELL_PARAMETERS angstrom
-0.106 3.496 0.678
-1.624 -0.651 3.103
3.169 -0.216 1.613
! symmetry: Pm-3m
! E_form (uncorrected): 0.303 eV per atom



no.,calculated total energy (eV/cell)
1,-47.30
2,-54.42
3,-18.38
4,-43.22
5,-8.56
6,-69.43
7,-39.30
8,-15.54
9,-122.17
10,-27.65
11,-116.67
12,-38.00